Density functional theory data (PBE-GGA) for crystalline TaZnSi at its relaxed geometry.

Geometry as extended XYZ:
```
3
Lattice="2.906 0.000 0.000 -1.453 2.517 0.000 0.000 0.000 6.607" Properties=species:S:1:pos:R:3 pbc="T T T"
Ta 0.000 0.000 0.000
Zn 1.453 0.839 2.321
Si 0.000 1.678 4.444
```

Properties
E ... -18.3 eV per cell
Symmetry ... P3m1
Energy relative to the elements, uncorrected ... 0.3 eV per formula unit

---

Density functional theory data (PBE-GGA) for crystalline TaZnSi2 at its relaxed geometry.

Geometry as extended XYZ:
```
4
Lattice="-1.914 1.914 4.011 1.914 -1.914 4.011 1.914 1.914 -4.011" Properties=species:S:1:pos:R:3 pbc="T T T"
Ta 0.000 0.000 0.000
Zn 0.000 0.000 4.011
Si 1.914 0.000 2.006
Si 0.000 1.914 2.006
```

Properties
E ... -24.1 eV per cell
Symmetry ... I4/mmm
Energy relative to the elements, uncorrected ... -0.2 eV per formula unit

---

Density functional theory data (PBE-GGA) for crystalline TaZnSi2 at its relaxed geometry.

Geometry as extended XYZ:
```
4
Lattice="2.730 0.000 0.000 0.000 4.496 0.000 -0.002 0.000 4.883" Properties=species:S:1:pos:R:3 pbc="T T T"
Ta 0.000 0.000 0.000
Zn 1.366 2.248 3.556
Si 1.358 0.000 2.425
Si 1.361 2.248 1.077
```

Properties
E ... -24.0 eV per cell
Symmetry ... Pm
Energy relative to the elements, uncorrected ... 0.0 eV per formula unit